VASP calculation (PBE+U) on an optimized crystal structure of Pu2Tl3CrO9.

Results
The value obtained for the volume is 221 Å³/f.u. As for the energy: -115.08 eV for the cell shown. The space-group type is No. 164. As for the crystal system: trigonal. The value obtained for the spin magnetization is 0.47 μB per atom.

Cell: 5.9182 5.9182 7.2806 Å, 90.00 90.00 120.00°
With the nearest neighbours (Å) after each atom.
Fractional coordinates of all 15 atoms:
Pu 0.3333 0.6667 0.1798  6 O 2.07-2.15
Pu 0.6667 0.3333 0.8202  6 O 2.07-2.15
Tl 0.3333 0.6667 0.6619  12 O 2.94-3.00
Tl 0.0000 0.0000 0.0000  12 O 2.96
Tl 0.6667 0.3333 0.3381  12 O 2.94-3.00
Cr 0.0000 0.0000 0.5000  6 O 2.07
O 0.8355 0.1645 0.6651  1 Pu 2.07, 1 Cr 2.07
O 0.8355 0.6710 0.6651  1 Pu 2.07, 1 Cr 2.07
O 0.3290 0.1645 0.6651  1 Pu 2.07, 1 Cr 2.07
O 0.6710 0.8355 0.3349  1 Pu 2.07, 1 Cr 2.07
O 0.1645 0.3290 0.3349  1 Pu 2.07, 1 Cr 2.07
O 0.1645 0.8355 0.3349  1 Pu 2.07, 1 Cr 2.07
O 0.5000 0.0000 0.0000  2 Pu 2.15
O 0.0000 0.5000 0.0000  2 Pu 2.15
O 0.5000 0.5000 0.0000  2 Pu 2.15